## LaMn3Be (GGA-PBEsol)

Data for a relaxed LaMn3Be crystal. Values from VASP.

- ΔH_f (0 K): 2.05 eV/atom
- Electronic total energy: -5.67 eV per atom
- Size of the total moment: 1.423 μB per atom

Structure (Quantum ESPRESSO input):
```
&SYSTEM
  ibrav = 0, nat = 5, ntyp = 3
/
ATOMIC_SPECIES
Mn 54.94 Mn.upf
La 138.91 La.upf
Be 9.01 Be.upf
ATOMIC_POSITIONS crystal
Mn 0.0000 0.5000 0.0000
Mn 0.5000 0.0000 0.0000
Mn 0.0000 0.0000 0.5000
La 0.0000 0.0000 0.0000
Be 0.5000 0.5000 0.5000
CELL_PARAMETERS angstrom
-3.7117 1.5417 -2.0443
-0.6877 -4.0682 -1.8193
-2.4664 -1.1858 3.5838
```

=====

## CoPbSe3 (GGA-PBEsol)

Data for a relaxed CoPbSe3 crystal. Values from VASP.

- Electronic total energy: -3.42 eV per atom
- Size of the total moment: 0.589 μB per atom

Structure (Quantum ESPRESSO input):
```
&SYSTEM
  ibrav = 0, nat = 5, ntyp = 3
/
ATOMIC_SPECIES
Se 78.96 Se.upf
Pb 207.20 Pb.upf
Co 58.93 Co.upf
ATOMIC_POSITIONS crystal
Se 0.0000 0.5000 0.0000
Se 0.0000 0.0000 0.5000
Se 0.5000 0.0000 0.0000
Pb 0.0000 0.0000 0.0000
Co 0.5000 0.5000 0.5000
CELL_PARAMETERS angstrom
5.3086 0.0000 0.0000
0.0000 5.3086 0.0000
0.0000 0.0000 5.3086
```

=====

## BaRh2Se (GGA-PBEsol)

Data for a relaxed BaRh2Se crystal. Values from VASP.

- Electronic total energy: -6.05 eV per atom
- Size of the total moment: 0.000 μB per atom

Structure (Quantum ESPRESSO input):
```
&SYSTEM
  ibrav = 0, nat = 4, ntyp = 3
/
ATOMIC_SPECIES
Se 78.96 Se.upf
Rh 102.91 Rh.upf
Ba 137.33 Ba.upf
ATOMIC_POSITIONS crystal
Se 0.0000 0.0000 0.3957
Rh 0.5000 0.0000 0.1895
Rh 0.0000 0.5000 0.1895
Ba 0.5000 0.5000 0.7254
CELL_PARAMETERS angstrom
4.1663 0.0000 0.0000
0.0000 4.1663 0.0000
0.0000 0.0000 5.2187
```

=====

## CsCu3Pt (GGA-PBEsol)

Data for a relaxed CsCu3Pt crystal. Values from VASP.

- ΔH_f (0 K): 0.57 eV/atom
- Electronic total energy: -3.61 eV per atom
- Size of the total moment: 0.000 μB per atom

Structure (Quantum ESPRESSO input):
```
&SYSTEM
  ibrav = 0, nat = 5, ntyp = 3
/
ATOMIC_SPECIES
Pt 195.08 Pt.upf
Cu 63.55 Cu.upf
Cs 132.91 Cs.upf
ATOMIC_POSITIONS crystal
Pt 0.0000 0.0000 0.0000
Cu 0.0000 0.5000 0.0000
Cu 0.5000 0.0000 0.0000
Cu 0.0000 0.0000 0.5000
Cs 0.5000 0.5000 0.5000
CELL_PARAMETERS angstrom
-2.3424 -0.9836 -4.1093
4.2239 -0.4197 -2.3072
0.1128 -4.7113 1.0635
```